(1)
## Zr2BeW (PBE-GGA)

Data for a relaxed Zr2BeW crystal.

abc: 6.5294 6.5294 6.5294
angles: 90.00 90.00 90.00
Closest atoms and distances in Å follow each position.
Space group F-43m (No. 216)
Asymmetric unit:
Zr 0.0000 0.0000 0.0000 [4 per cell]  4 Zr 2.83, 4 W 2.83
Zr 0.2500 0.2500 0.2500 [4 per cell]  4 Zr 2.83, 4 Be 2.83
Be 0.0000 0.0000 0.5000 [4 per cell]  4 W 2.83, 4 Zr 2.83
W 0.2500 0.2500 0.7500 [4 per cell]  4 Zr 2.83, 4 Be 2.83

Final energy: -8.076 eV/atom

(2)
## Dy3Mo3W2N12 (PBE-GGA)

Data for a relaxed Dy3Mo3W2N12 crystal.

abc: 12.6864 12.6864 12.6864
angles: 90.00 90.00 90.00
Closest atoms and distances in Å follow each position.
Space group Ia-3d (No. 230)
Asymmetric unit:
Dy 0.0000 0.2500 0.1250 [24 per cell]  8 N 2.46-2.54
Mo 0.0000 0.2500 0.3750 [24 per cell]  4 N 1.88
W 0.0000 0.0000 0.0000 [16 per cell]  6 N 2.04
N 0.0315 0.0533 0.6486 [96 per cell]  1 Mo 1.88, 1 W 2.04

Final energy: -9.350 eV/atom

(3)
## PaNbAg (PBE-GGA)

Data for a relaxed PaNbAg crystal.

abc: 6.5037 6.5037 6.5037
angles: 90.00 90.00 90.00
Closest atoms and distances in Å follow each position.
Space group F-43m (No. 216)
Asymmetric unit:
Pa 0.0000 0.0000 0.0000 [4 per cell]  4 Nb 2.82
Nb 0.2500 0.2500 0.7500 [4 per cell]  4 Pa 2.82, 4 Ag 2.82
Ag 0.0000 0.0000 0.5000 [4 per cell]  4 Nb 2.82

Polymorph energy (0 for the lowest one): 0.00 eV/f.u.
DFT formation energy: 815 meV per atom

(4)
## GdAuSeO (PBE-GGA)

Data for a relaxed GdAuSeO crystal.

abc: 5.6593 9.5694 5.6716
angles: 90.00 90.00 90.00
Closest atoms and distances in Å follow each position.
Space group Pcca (No. 54)
Asymmetric unit:
Gd 0.0000 0.1170 0.2500 [4 per cell]  4 O 2.29-2.30
Au 0.2500 0.5000 0.2357 [4 per cell]  2 Se 2.54, 4 Au 2.83-2.84
Se 0.0000 0.2792 0.7500 [4 per cell]  2 Au 2.54
O 0.2500 0.0000 0.0005 [4 per cell]  4 Gd 2.29-2.30

Final energy: -5.997 eV/atom